[1]
The following is a DFT calculation (GGA-PBE) of an optimized crystal structure of ZrTaSe2.

POSCAR file:
```
ZrTaSe2
1.0
4.7878 0.0000 0.0000
2.3939 4.1464 0.0000
2.3939 1.3821 3.9092
Se Zr Ta
2 1 1
Direct
0.2500 0.2500 0.2500
0.0000 0.0000 0.0000
0.7500 0.7500 0.7500
0.5000 0.5000 0.5000
```

Summary:
Formation energy (no corrections), eV per atom: 0.217
SG: F-43m (216)



[2]
The following is a DFT calculation (GGA-PBE) of an optimized crystal structure of Tm6Ga17Pt5.

POSCAR file:
```
Tm6Ga17Pt5
1.0
2.1105 7.8566 -0.0311
-2.1105 7.8566 -0.0311
0.0000 3.2753 15.3257
Ga Tm Pt
17 6 5
Direct
0.0454 0.0454 0.3244
0.9546 0.9546 0.6756
0.4556 0.4556 0.1755
0.8249 0.8249 0.5451
0.6040 0.6040 0.2301
0.3216 0.3216 0.0441
0.2289 0.2289 0.6025
0.7711 0.7711 0.3975
0.6784 0.6784 0.9559
0.1038 0.1038 0.7294
0.8962 0.8962 0.2706
0.7295 0.7295 0.1057
0.2705 0.2705 0.8943
0.3960 0.3960 0.7699
0.1751 0.1751 0.4549
0.5000 0.5000 0.0000
0.5444 0.5444 0.8245
0.2497 0.2497 0.2509
0.5881 0.5881 0.5879
0.4119 0.4119 0.4121
0.9085 0.9085 0.9096
0.7503 0.7503 0.7491
0.0915 0.0915 0.0904
0.6072 0.6072 0.3935
0.8915 0.8915 0.1084
0.1085 0.1085 0.8916
0.0000 0.0000 0.5000
0.3928 0.3928 0.6065
```

Summary:
SG: C2/m (12)
ΔE_f, eV per atom: -0.6981



[3]
The following is a DFT calculation (GGA-PBE) of an optimized crystal structure of BaLiMn2Se4.

POSCAR file:
```
BaLiMn2Se4
1.0
4.1155 0.0000 0.0000
-2.0577 6.6510 0.0000
0.0000 0.0000 13.4757
Se Ba Li Mn
8 2 2 4
Direct
0.2602 0.5203 0.1004
0.4344 0.8688 0.7500
0.7398 0.4797 0.6004
0.0000 0.0000 0.0000
0.5656 0.1312 0.2500
0.0000 0.0000 0.5000
0.2602 0.5203 0.3996
0.7398 0.4797 0.8996
0.8807 0.7614 0.2500
0.1193 0.2386 0.7500
0.8433 0.6867 0.7500
0.1567 0.3133 0.2500
0.3685 0.7371 0.9395
0.6315 0.2629 0.4395
0.3685 0.7371 0.5605
0.6315 0.2629 0.0605
```

Summary:
Formation energy (no corrections), eV per atom: -0.910
SG: Cmcm (63)



[4]
The following is a DFT calculation (GGA-PBE) of an optimized crystal structure of TlHg4Sb2.

POSCAR file:
```
TlHg4Sb2
1.0
3.2818 0.0000 0.0000
0.0000 4.1291 -0.8058
0.0000 0.7420 14.7838
Sb Tl Hg
2 1 4
Direct
0.5000 0.2153 0.4307
0.5000 0.7847 0.5693
0.0000 0.5000 0.0000
0.5000 0.9268 0.8535
0.5000 0.0732 0.1465
0.0000 0.6387 0.2774
0.0000 0.3613 0.7226
```

Summary:
Formation energy (no corrections), eV per atom: 0.018
SG: Cmmm (65)



[5]
The following is a DFT calculation (GGA-PBE) of an optimized crystal structure of Tl2InN2.

POSCAR file:
```
Tl2InN2
1.0
4.0861 -1.0603 0.5780
1.1244 4.0689 0.5780
0.8191 0.4730 6.1968
Tl In N
2 1 2
Direct
0.3188 0.3188 0.3259
0.6812 0.6812 0.6741
0.0000 0.0000 0.0000
0.7187 0.7187 0.2865
0.2813 0.2813 0.7135
```

Summary:
Formation energy (no corrections), eV per atom: 0.846
SG: C2/m (12)



[6]
The following is a DFT calculation (GGA-PBE) of an optimized crystal structure of Cs2CdAg2.

POSCAR file:
```
Cs2CdAg2
1.0
-1.3921 -1.7547 3.3585
3.5804 -1.7805 0.5539
4.7687 7.6216 8.3847
Cs Ag Cd
2 2 1
Direct
0.3809 0.3809 0.2382
0.6191 0.6191 0.7618
0.7500 0.2500 0.5000
0.2500 0.7500 0.5000
0.0000 0.0000 0.0000
```

Summary:
SG: I4/mmm (139)
ΔE_f, eV per atom: 0.1239



What did we get for spin magnetization? Answer: 0.000 0.000 9.000 0.000 0.000 0.000 μB per formula unit, in the order shown.